# PBE Mg4In, optimized geometry
# Energy of formation (meV/atom): 355.5
# Energy relative to the lowest polymorph listed for this composition (meV per atom): 416
# Calculated total energy (eV/cell): -7.3
data_Mg4In
_symmetry_space_group_name_H-M 'P m -3 m'
_symmetry_Int_Tables_number 221
_symmetry_space_group_name_Hall '-P 4 2 3'
_cell_length_a 5.377
_cell_length_b 5.377
_cell_length_c 5.377
_cell_angle_alpha 90.00
_cell_angle_beta 90.00
_cell_angle_gamma 90.00
loop_
_atom_site_label
_atom_site_type_symbol
_atom_site_fract_x
_atom_site_fract_y
_atom_site_fract_z
Mg1 Mg 0.000 0.000 0.000
Mg2 Mg 0.000 0.500 0.500
In1 In 0.500 0.500 0.500